1.
# Ca2Bi3Pd, relaxed, DFT PBE
data_Ca2Bi3Pd
_symmetry_space_group_name_H-M 'P m m 2'
_symmetry_Int_Tables_number 25
_symmetry_space_group_name_Hall 'P 2 -2'
_cell_length_a 3.596
_cell_length_b 4.763
_cell_length_c 10.206
_cell_angle_alpha 90.00
_cell_angle_beta 90.00
_cell_angle_gamma 90.00
loop_
_atom_site_label
_atom_site_type_symbol
_atom_site_fract_x
_atom_site_fract_y
_atom_site_fract_z
Ca1 Ca 0.000 0.000 0.000
Ca2 Ca 0.000 0.500 0.422
Bi1 Bi 0.500 0.000 0.572
Bi2 Bi 0.500 0.500 0.148
Bi3 Bi 0.500 0.500 0.823
Pd1 Pd 0.500 0.000 0.295
# ΔE_f: -0.528 eV/atom
# E_tot: -4.00 eV/atom


2.
# CaBiPd2, relaxed, DFT PBE
data_CaBiPd2
_symmetry_space_group_name_H-M 'P m m n'
_symmetry_Int_Tables_number 59
_cell_length_a 4.848
_cell_length_b 6.849
_cell_length_c 5.214
_cell_angle_alpha 90.00
_cell_angle_beta 90.00
_cell_angle_gamma 90.00
loop_
_symmetry_equiv_pos_as_xyz
'x,y,z'
'-x,-y,-z'
'-x+1/2,-y+1/2,z'
'x+1/2,y+1/2,-z'
'x+1/2,-y,-z'
'-x+1/2,y,z'
'-x,y+1/2,-z'
'x,-y+1/2,z'
loop_
_atom_site_label
_atom_site_type_symbol
_atom_site_fract_x
_atom_site_fract_y
_atom_site_fract_z
Ca1 Ca 0.250 0.250 0.195
Bi1 Bi 0.250 0.750 0.254
Pd1 Pd 0.250 0.026 0.671
# ΔE_f: -0.612 eV/atom
# E_tot: -4.68 eV/atom


3.
# Ca2Bi5Pd3, relaxed, DFT PBE
data_Ca2Bi5Pd3
_symmetry_space_group_name_H-M 'C m c 21'
_symmetry_Int_Tables_number 36
_symmetry_space_group_name_Hall 'C 2c -2'
_cell_length_a 4.665
_cell_length_b 28.156
_cell_length_c 7.855
_cell_angle_alpha 90.00
_cell_angle_beta 90.00
_cell_angle_gamma 90.00
loop_
_atom_site_label
_atom_site_type_symbol
_atom_site_fract_x
_atom_site_fract_y
_atom_site_fract_z
Ca1 Ca 0.000 0.023 0.000
Ca2 Ca 0.000 0.331 0.958
Bi1 Bi 0.000 0.096 0.631
Bi2 Bi 0.000 0.205 0.172
Bi3 Bi 0.000 0.210 0.746
Bi4 Bi 0.000 0.380 0.492
Bi5 Bi 0.000 0.453 0.828
Pd1 Pd 0.000 0.106 0.253
Pd2 Pd 0.000 0.272 0.456
Pd3 Pd 0.000 0.453 0.214
# ΔE_f: -0.507 eV/atom
# E_tot: -4.41 eV/atom


4.
# Ca12BiPd6, relaxed, DFT PBE
data_Ca12BiPd6
_symmetry_space_group_name_H-M 'I m -3'
_symmetry_Int_Tables_number 204
_symmetry_space_group_name_Hall '-I 2 2 3'
_cell_length_a 10.327
_cell_length_b 10.327
_cell_length_c 10.327
_cell_angle_alpha 90.00
_cell_angle_beta 90.00
_cell_angle_gamma 90.00
loop_
_atom_site_label
_atom_site_type_symbol
_atom_site_fract_x
_atom_site_fract_y
_atom_site_fract_z
Ca1 Ca 0.000 0.182 0.305
Bi1 Bi 0.000 0.000 0.000
Pd1 Pd 0.000 0.370 0.500
# ΔE_f: -0.550 eV/atom
# E_tot: -3.66 eV/atom


5.
# CaBi2Pd8, relaxed, DFT PBE
data_CaBi2Pd8
_symmetry_space_group_name_H-M 'C 1 2/m 1'
_symmetry_Int_Tables_number 12
_symmetry_space_group_name_Hall '-C 2y'
_cell_length_a 7.781
_cell_length_b 13.028
_cell_length_c 5.107
_cell_angle_alpha 90.00
_cell_angle_beta 126.14
_cell_angle_gamma 90.00
loop_
_atom_site_label
_atom_site_type_symbol
_atom_site_fract_x
_atom_site_fract_y
_atom_site_fract_z
Ca1 Ca 0.000 0.000 0.000
Bi1 Bi 0.000 0.310 0.500
Pd1 Pd 0.000 0.219 0.000
Pd2 Pd 0.062 0.500 0.805
Pd3 Pd 0.211 0.116 0.642
# Offset from the most stable computed form: 0.73 eV/f.u.
# ΔE_f: -0.248 eV/atom
# E_tot: -4.91 eV/atom


6.
# Ca2BiPd2, relaxed, DFT PBE
data_Ca2BiPd2
_symmetry_space_group_name_H-M 'I 4/m m m'
_symmetry_Int_Tables_number 139
_symmetry_space_group_name_Hall '-I 4 2'
_cell_length_a 5.641
_cell_length_b 5.641
_cell_length_c 8.120
_cell_angle_alpha 90.00
_cell_angle_beta 90.00
_cell_angle_gamma 90.00
loop_
_atom_site_label
_atom_site_type_symbol
_atom_site_fract_x
_atom_site_fract_y
_atom_site_fract_z
Ca1 Ca 0.000 0.500 0.250
Bi1 Bi 0.000 0.000 0.000
Pd1 Pd 0.000 0.000 0.342
# Offset from the most stable computed form: 0.96 eV/f.u.
# ΔE_f: -0.550 eV/atom
# E_tot: -4.20 eV/atom


7.
# Ca2Bi3Pd4, relaxed, DFT PBE
data_Ca2Bi3Pd4
_symmetry_space_group_name_H-M 'C m c e'
_symmetry_Int_Tables_number 64
_symmetry_space_group_name_Hall '-C 2ac 2'
_cell_length_a 6.431
_cell_length_b 17.354
_cell_length_c 7.492
_cell_angle_alpha 90.00
_cell_angle_beta 90.00
_cell_angle_gamma 90.00
loop_
_atom_site_label
_atom_site_type_symbol
_atom_site_fract_x
_atom_site_fract_y
_atom_site_fract_z
Ca1 Ca 0.000 0.098 0.091
Bi1 Bi 0.000 0.000 0.500
Bi2 Bi 0.250 0.242 0.750
Pd1 Pd 0.000 0.162 0.485
Pd2 Pd 0.250 0.075 0.750
# ΔE_f: -0.569 eV/atom
# E_tot: -4.61 eV/atom


8.
# Ca2BiPd6, relaxed, DFT PBE
data_Ca2BiPd6
_symmetry_space_group_name_H-M 'I m m m'
_symmetry_Int_Tables_number 71
_symmetry_space_group_name_Hall '-I 2 2'
_cell_length_a 4.510
_cell_length_b 8.640
_cell_length_c 9.516
_cell_angle_alpha 90.00
_cell_angle_beta 90.00
_cell_angle_gamma 90.00
loop_
_atom_site_label
_atom_site_type_symbol
_atom_site_fract_x
_atom_site_fract_y
_atom_site_fract_z
Ca1 Ca 0.000 0.000 0.166
Bi1 Bi 0.000 0.000 0.500
Pd1 Pd 0.000 0.275 0.336
Pd2 Pd 0.000 0.301 0.000
# Offset from the most stable computed form: 1.60 eV/f.u.
# ΔE_f: -0.327 eV/atom
# E_tot: -4.66 eV/atom


9.
# Ca2BiPd2, relaxed, DFT PBE
data_Ca2BiPd2
_symmetry_space_group_name_H-M 'P 4/m b m'
_symmetry_Int_Tables_number 127
_symmetry_space_group_name_Hall '-P 4 2ab'
_cell_length_a 7.868
_cell_length_b 7.868
_cell_length_c 3.820
_cell_angle_alpha 90.00
_cell_angle_beta 90.00
_cell_angle_gamma 90.00
loop_
_atom_site_label
_atom_site_type_symbol
_atom_site_fract_x
_atom_site_fract_y
_atom_site_fract_z
Ca1 Ca 0.171 0.329 0.000
Bi1 Bi 0.000 0.000 0.500
Pd1 Pd 0.127 0.627 0.500
# Offset from the most stable computed form: 0.23 eV/f.u.
# ΔE_f: -0.698 eV/atom
# E_tot: -4.35 eV/atom


10.
# CaBiPd2, relaxed, DFT PBE
data_CaBiPd2
_symmetry_space_group_name_H-M 'P 4/m m m'
_symmetry_Int_Tables_number 123
_symmetry_space_group_name_Hall '-P 4 2'
_cell_length_a 4.734
_cell_length_b 4.734
_cell_length_c 3.765
_cell_angle_alpha 90.00
_cell_angle_beta 90.00
_cell_angle_gamma 90.00
loop_
_atom_site_label
_atom_site_type_symbol
_atom_site_fract_x
_atom_site_fract_y
_atom_site_fract_z
Ca1 Ca 0.000 0.000 0.000
Bi1 Bi 0.500 0.500 0.000
Pd1 Pd 0.000 0.500 0.500
# ΔE_f: -0.571 eV/atom
# E_tot: -4.64 eV/atom


11.
# Ca3Bi4Pd2, relaxed, DFT PBE
data_Ca3Bi4Pd2
_symmetry_space_group_name_H-M 'P -1'
_symmetry_Int_Tables_number 2
_symmetry_space_group_name_Hall '-P 1'
_cell_length_a 4.457
_cell_length_b 6.161
_cell_length_c 10.334
_cell_angle_alpha 96.18
_cell_angle_beta 90.15
_cell_angle_gamma 111.00
loop_
_atom_site_label
_atom_site_type_symbol
_atom_site_fract_x
_atom_site_fract_y
_atom_site_fract_z
Ca1 Ca 0.000 0.000 0.000
Ca2 Ca 0.365 0.728 0.598
Bi1 Bi 0.079 0.156 0.647
Bi2 Bi 0.291 0.579 0.892
Pd1 Pd 0.283 0.568 0.277
# ΔE_f: -0.530 eV/atom
# E_tot: -4.08 eV/atom


12.
# Ca2BiPd2, relaxed, DFT PBE
data_Ca2BiPd2
_symmetry_space_group_name_H-M 'I m m m'
_symmetry_Int_Tables_number 71
_symmetry_space_group_name_Hall '-I 2 2'
_cell_length_a 4.670
_cell_length_b 5.937
_cell_length_c 8.673
_cell_angle_alpha 90.00
_cell_angle_beta 90.00
_cell_angle_gamma 90.00
loop_
_atom_site_label
_atom_site_type_symbol
_atom_site_fract_x
_atom_site_fract_y
_atom_site_fract_z
Ca1 Ca 0.000 0.000 0.201
Bi1 Bi 0.000 0.500 0.000
Pd1 Pd 0.000 0.273 0.500
# Offset from the most stable computed form: 0.00 eV/f.u.
# ΔE_f: -0.743 eV/atom
# E_tot: -4.40 eV/atom